A plane-wave DFT calculation with PBE was carried out for an optimized crystal structure of Re2Ru.

* calculated total energy: -34.0 eV per formula unit
* energy of formation from the pure elements: 52 meV per atom

Unit cell a=4.773 b=4.773 c=4.773 alpha=146.82 beta=131.82 gamma=59.75
Sites, in units of the cell vectors:
Re (0.333, 0.333, 0.000)
Re (0.667, 0.667, 0.000)
Ru (0.000, 0.000, 0.000)

=====

A plane-wave DFT calculation with PBE was carried out for an optimized crystal structure of Pa2BiIr2.

* calculated total energy: -44.3 eV per formula unit
* energy of formation from the pure elements: -734 meV per atom

Unit cell a=3.618 b=7.848 c=7.848 alpha=90.00 beta=90.00 gamma=90.00
Sites, in units of the cell vectors:
Pa (0.000, 0.332, 0.668)
Pa (0.000, 0.168, 0.168)
Ir (0.500, 0.870, 0.130)
Ir (0.500, 0.130, 0.870)
Bi (0.500, 0.500, 0.000)
Pa (0.000, 0.832, 0.832)
Ir (0.500, 0.370, 0.370)
Pa (0.000, 0.668, 0.332)
Bi (0.500, 0.000, 0.500)
Ir (0.500, 0.630, 0.630)

=====

A plane-wave DFT calculation with PBE was carried out for an optimized crystal structure of Ac2ZnGaO6.

* calculated total energy: -66.2 eV per formula unit
* formation energy without anion corrections: -2.3930 eV per atom

Unit cell a=5.760 b=5.610 c=8.032 alpha=90.00 beta=90.02 gamma=90.00
Sites, in units of the cell vectors:
Ac (0.503, 0.501, 0.750)
Ga (0.000, 0.500, 0.500)
O (0.937, 0.500, 0.255)
O (0.563, 0.000, 0.245)
Ga (0.500, 0.000, 0.000)
O (0.245, 0.253, 0.466)
O (0.747, 0.756, 0.966)
O (0.755, 0.747, 0.534)
Ac (0.003, 0.999, 0.250)
O (0.745, 0.247, 0.966)
Zn (0.000, 0.500, 0.000)
O (0.255, 0.753, 0.034)
O (0.437, 0.000, 0.755)
O (0.063, 0.500, 0.745)
O (0.253, 0.244, 0.034)
Zn (0.500, 0.000, 0.500)
O (0.247, 0.744, 0.466)
Ac (0.997, 0.001, 0.750)
Ac (0.497, 0.499, 0.250)
O (0.753, 0.256, 0.534)

=====

A plane-wave DFT calculation with PBE was carried out for an optimized crystal structure of YCdRh2.

* calculated total energy: -22.9 eV per formula unit
* energy of formation from the pure elements: -207 meV per atom

Unit cell a=4.735 b=4.735 c=4.735 alpha=60.00 beta=60.00 gamma=60.00
Sites, in units of the cell vectors:
Y (0.750, 0.750, 0.750)
Rh (0.000, 0.000, 0.000)
Cd (0.500, 0.500, 0.500)
Rh (0.250, 0.250, 0.250)

=====

A plane-wave DFT calculation with PBE was carried out for an optimized crystal structure of LiHoMgSn.

* calculated total energy: -13.4 eV per formula unit
* energy of formation from the pure elements: -335 meV per atom

Unit cell a=5.090 b=5.090 c=5.090 alpha=60.00 beta=60.00 gamma=60.00
Sites, in units of the cell vectors:
Mg (0.750, 0.750, 0.750)
Li (0.500, 0.500, 0.500)
Ho (0.000, 0.000, 0.000)
Sn (0.250, 0.250, 0.250)

=====

A plane-wave DFT calculation with PBE was carried out for an optimized crystal structure of Zr2PaAu.

* calculated total energy: -30.7 eV per formula unit
* energy of formation from the pure elements: -203 meV per atom

Unit cell a=3.260 b=5.148 c=5.148 alpha=90.00 beta=90.00 gamma=90.00
Sites, in units of the cell vectors:
Pa (0.500, 0.500, 0.500)
Au (0.500, 0.000, 0.000)
Zr (0.000, 0.000, 0.500)
Zr (0.000, 0.500, 0.000)

=====

A plane-wave DFT calculation with PBE was carried out for an optimized crystal structure of Tb4CdCuRh2.

* calculated total energy: -42.5 eV per formula unit
* energy of formation from the pure elements: -535 meV per atom

Unit cell a=4.995 b=4.995 c=8.633 alpha=73.18 beta=73.18 gamma=60.00
Sites, in units of the cell vectors:
Rh (0.748, 0.748, 0.755)
Tb (0.871, 0.871, 0.388)
Tb (0.380, 0.380, 0.860)
Rh (0.252, 0.252, 0.245)
Tb (0.129, 0.129, 0.612)
Tb (0.620, 0.620, 0.140)
Cd (0.000, 0.000, 0.000)
Cu (0.500, 0.500, 0.500)

=====

A plane-wave DFT calculation with PBE was carried out for an optimized crystal structure of GdGa4Sn.

* calculated total energy: -31.7 eV per formula unit
* energy of formation from the pure elements: -256 meV per atom

Unit cell a=5.607 b=5.607 c=5.607 alpha=60.00 beta=60.00 gamma=60.00
Each line ends with the local moment (μB).
Sites, in units of the cell vectors:
Ga (0.625, 0.125, 0.625)  0.01
Ga (0.625, 0.625, 0.625)  0.01
Sn (0.000, 0.000, 0.000)  0.01
Ga (0.125, 0.625, 0.625)  0.01
Ga (0.625, 0.625, 0.125)  0.01
Gd (0.250, 0.250, 0.250)  -7.10